# 1
Density functional theory data (PBE+U) for a relaxed Cs2V3SnF12 crystal.

Cell and atoms, written as extended XYZ:
```
18
Lattice="7.7196 0.0373 0.0264 3.8447 6.6941 0.0264 3.8447 2.2380 6.3090" Properties=species:S:1:pos:R:3 pbc="T T T"
V 1.9224 3.3470 0.0132
V 1.9224 1.1190 3.1545
F 8.4621 4.9257 0.5979
F 3.5278 2.0535 3.9093
Cs 9.5022 5.5311 3.9231
F 6.9469 4.0437 5.7640
F 6.9469 6.7767 1.9108
F 6.0856 6.2754 4.4511
F 9.3234 2.6940 1.9108
F 11.8812 6.9159 2.4526
Sn 0.0000 0.0000 0.0000
F 8.4621 2.1926 4.4511
F 3.5278 4.3683 0.6457
F 9.8684 8.0591 5.7162
F 11.8812 4.6010 5.7162
Cs 5.9069 3.4383 2.4387
V 3.8598 0.0186 0.0132
F 5.5407 0.9103 0.6457
```

Properties
final energy: -5.59 eV/atom
volume: 18.0 A^3/atom
DOS at the Fermi energy: 4.33 states/eV per cell
symmetry: R-3m, No. 166

# 2
Density functional theory data (PBE+U) for a relaxed Cs2SnWF6 crystal.

Cell and atoms, written as extended XYZ:
```
10
Lattice="6.3871 0.0000 0.0000 0.0000 6.3871 0.0000 3.1935 3.1935 5.7174" Properties=species:S:1:pos:R:3 pbc="T T T"
Sn 3.1935 3.1935 0.0000
F 4.8848 4.8848 0.0000
Cs 6.3871 3.1935 2.8587
F 1.5023 4.8848 0.0000
F 6.3871 6.3871 2.1118
F 4.8848 1.5023 0.0000
Cs 3.1935 6.3871 2.8587
W 0.0000 0.0000 0.0000
F 3.1935 3.1935 3.6056
F 1.5023 1.5023 0.0000
```

Properties
final energy: -4.81 eV/atom
volume: 23.3 A^3/atom
DOS at the Fermi energy: 0.00 states/eV per cell
symmetry: I4/mmm, No. 139